No. 1
The following is a DFT calculation (SCAN) of a PBEsol-optimized structure of Ag2SnN.

abc: 4.496 4.496 4.496
angles: 60.00 60.00 60.00
Atoms (fractional coordinates):
Ag: 0.250 0.250 0.250
Ag: 0.750 0.750 0.750
Sn: 0.000 0.000 0.000
N: 0.500 0.500 0.500

Values from the calculation:
Density of states at the Fermi level (states/eV/cell): 1.0
Formation energy from raw total energies (eV per atom): 1.04
Total moment (μB per formula unit): 0.00

---

No. 2
The following is a DFT calculation (SCAN) of a PBEsol-optimized structure of Li3MgPd.

abc: 4.673 4.673 4.673
angles: 90.00 90.00 90.00
Atoms (fractional coordinates):
Li: 0.000 0.000 0.500
Li: 0.000 0.500 0.000
Li: 0.500 0.000 0.000
Mg: 0.500 0.500 0.500
Pd: 0.000 0.000 0.000

Values from the calculation:
Density of states at the Fermi level (states/eV/cell): 1.7
Total moment (μB per formula unit): 0.00
Energy relative to the elements (meV/atom): -13